Entry from the Alexandria database: crystalline CsPbC at its relaxed geometry (GGA-PBE).

```
CsPbC
1.0
8.442 0.000 -0.002
0.000 5.120 0.000
-6.980 0.000 11.032
Cs C Pb
4 4 4
Direct
0.156 0.500 0.533 Cs
0.817 0.000 0.643 Cs
0.817 0.500 0.143 Cs
0.156 0.000 0.033 Cs
0.390 0.000 0.551 C
0.390 0.500 0.051 C
0.434 0.000 0.660 C
0.434 0.500 0.160 C
0.277 0.500 0.846 Pb
0.528 0.500 0.363 Pb
0.528 0.000 0.863 Pb
0.277 0.000 0.346 Pb
```

DOS(E_F) ... 0.1 states/eV per cell
Magnetization ... 0.0000 μB/atom
Distance to the lowest polymorph of the same formula ... 10 kJ/mol of formula units
ΔH_f (0 K) ... 0.259 eV/atom
Space-group type ... Cm, No. 8